No. 1
SrSi3 after structural relaxation, computed with PBE.

```
4
Lattice="-3.7762 1.2589 1.9477 -1.4574 -2.3575 -1.3019 1.3111 -3.4451 4.7686" Properties=species:S:1:pos:R:3 pbc="T T T"
Si -1.9979 -3.7225 3.5739
Si 0.1539 -5.0441 3.5586
Si -0.3734 -3.6598 1.6415
Sr -1.9247 -0.8212 1.8405
```

Properties
total energy: -17.62 eV for the cell shown
uncorrected formation energy: 32 kJ/mol of formula units
D(E_F): 0.50 states/eV per atom
total moment: 0.0000 μB per atom
space-group type: Pmmm (47)

---

No. 2
SrSi2 after structural relaxation, computed with PBE.

```
6
Lattice="-0.2960 -3.5254 -4.3432 4.6517 -2.4337 -1.9541 0.8324 -5.4840 0.7822" Properties=species:S:1:pos:R:3 pbc="T T T"
Si 3.2425 -7.1519 -3.4469
Si 3.3905 -5.3892 -1.2753
Si 2.8263 -4.4099 -3.8380
Si 0.9167 -5.9351 -2.4699
Sr 1.2970 -2.8608 -1.3788
Sr 0.0000 0.0000 0.0000
```

Properties
total energy: -26.25 eV for the cell shown
uncorrected formation energy: -58 kJ/mol of formula units
D(E_F): 0.00 states/eV per atom
total moment: 0.0000 μB per atom
space-group type: Fd-3m (227)

---

No. 3
SrSi5 after structural relaxation, computed with PBE.

```
6
Lattice="-5.2455 0.5232 3.5099 3.4239 -4.7212 -2.4690 2.4568 -0.1501 3.6940" Properties=species:S:1:pos:R:3 pbc="T T T"
Si 1.2794 -2.7558 1.7042
Si -2.6192 -1.0655 1.6987
Si 3.0708 -3.8395 0.4688
Si -2.1939 -0.6547 4.0996
Si 0.9707 -3.2371 -0.7771
Sr -5.1769 0.4818 3.4627
```

Properties
total energy: -28.35 eV for the cell shown
uncorrected formation energy: 43 kJ/mol of formula units
ΔE to the lowest computed polymorph: 0 meV per atom
D(E_F): 0.45 states/eV per atom
total moment: 0.0000 μB per atom
space-group type: Amm2 (38)